# 1
Here is a relaxed Ba2TaTl crystal from the Alexandria database. Energies are from PBE.

Cell lengths 3.4658, 3.4658, 10.8161 Å; angles 90.00, 90.00, 90.00 degrees
Atoms (fractional coordinates):
1 Ba 0.0000 0.0000 0.2393
2 Ba 0.0000 0.0000 0.7607
3 Ta 0.5000 0.5000 0.0000
4 Tl 0.5000 0.5000 0.5000

Output
- Symmetry: P4/mmm (123)
- DFT total energy: -15.4 eV for the cell shown
- N(E_F): 5.48 states/eV per cell


# 2
Here is a relaxed CeZn3H12 crystal from the Alexandria database. Energies are from PBE.

Cell lengths 9.7036, 9.7036, 9.7036 Å; angles 39.07, 39.07, 39.07 degrees
Atoms (fractional coordinates):
1 Ce 0.0000 0.0000 0.0000
2 Ce 0.5000 0.5000 0.5000
3 Zn 0.0303 0.4933 0.6251
4 Zn 0.1251 0.9933 0.5303
5 Zn 0.4933 0.6251 0.0303
6 Zn 0.5303 0.1251 0.9933
7 Zn 0.6251 0.0303 0.4933
8 Zn 0.9933 0.5303 0.1251
9 H 0.0942 0.1721 0.9728
10 H 0.0962 0.2943 0.6052
11 H 0.1052 0.7943 0.5962
12 H 0.1687 0.9651 0.6832
13 H 0.1721 0.9728 0.0942
14 H 0.1832 0.4651 0.6687
15 H 0.2792 0.4207 0.9277
16 H 0.2943 0.6052 0.0962
17 H 0.4207 0.9277 0.2792
18 H 0.4277 0.9207 0.7792
19 H 0.4651 0.6687 0.1832
20 H 0.4728 0.6721 0.5942
21 H 0.5942 0.4728 0.6721
22 H 0.5962 0.1052 0.7943
23 H 0.6052 0.0962 0.2943
24 H 0.6687 0.1832 0.4651
25 H 0.6721 0.5942 0.4728
26 H 0.6832 0.1687 0.9651
27 H 0.7792 0.4277 0.9207
28 H 0.7943 0.5963 0.1052
29 H 0.9207 0.7792 0.4277
30 H 0.9277 0.2792 0.4207
31 H 0.9651 0.6832 0.1687
32 H 0.9728 0.0942 0.1721

Output
- Symmetry: R3c (161)
- DFT total energy: -94.1 eV for the cell shown
- N(E_F): 3.01 states/eV per cell


# 3
Here is a relaxed NdSi3Ni9 crystal from the Alexandria database. Energies are from PBE.

Cell lengths 6.3362, 6.3362, 6.1107 Å; angles 97.74, 97.74, 135.38 degrees
Atoms (fractional coordinates):
1 Nd 0.0000 0.0000 0.0000
2 Si 0.0000 0.5000 0.0000
3 Si 0.5000 0.0000 0.0000
4 Si 0.5000 0.5000 0.5000
5 Ni 0.0000 0.0000 0.5000
6 Ni 0.0240 0.6672 0.6561
7 Ni 0.2824 0.5130 0.7726
8 Ni 0.3328 0.9760 0.3439
9 Ni 0.4870 0.7176 0.2274
10 Ni 0.5130 0.2824 0.7726
11 Ni 0.6672 0.0240 0.6561
12 Ni 0.7176 0.4870 0.2274
13 Ni 0.9760 0.3328 0.3439

Output
- Symmetry: C2/m (12)
- DFT total energy: -79.0 eV for the cell shown
- E_form (uncorrected): -455 meV per atom
- N(E_F): 8.60 states/eV per cell


# 4
Here is a relaxed Cd2BiAsAu crystal from the Alexandria database. Energies are from PBE.

Cell lengths 5.7626, 5.7626, 5.3748 Å; angles 90.00, 90.00, 90.00 degrees
Atoms (fractional coordinates):
1 Cd 0.0000 0.5000 0.0000
2 Cd 0.5000 0.0000 0.0000
3 Bi 0.0000 0.0000 0.0000
4 As 0.5000 0.5000 0.5000
5 Au 0.0000 0.0000 0.5000

Output
- Symmetry: P4/mmm (123)
- DFT total energy: -9.9 eV for the cell shown
- N(E_F): 3.58 states/eV per cell


# 5
Here is a relaxed Tb3Hg2Bi crystal from the Alexandria database. Energies are from PBE.

Cell lengths 8.3039, 8.3039, 3.9586 Å; angles 90.00, 90.00, 143.38 degrees
Atoms (fractional coordinates):
1 Tb 0.0000 0.0000 0.0000
2 Tb 0.3323 0.6677 0.0000
3 Tb 0.6677 0.3323 0.0000
4 Hg 0.1764 0.8236 0.5000
5 Hg 0.8236 0.1764 0.5000
6 Bi 0.5000 0.5000 0.5000

Output
- Symmetry: Cmmm (65)
- DFT total energy: -21.6 eV for the cell shown
- N(E_F): 5.69 states/eV per cell


# 6
Here is a relaxed Pu2CoIr3 crystal from the Alexandria database. Energies are from PBE.

Cell lengths 5.1799, 5.1799, 5.1799 Å; angles 62.56, 62.56, 62.56 degrees
Atoms (fractional coordinates):
1 Pu 0.1243 0.1243 0.1243
2 Pu 0.8757 0.8757 0.8757
3 Co 0.5000 0.5000 0.5000
4 Ir 0.0000 0.5000 0.5000
5 Ir 0.5000 0.0000 0.5000
6 Ir 0.5000 0.5000 0.0000

Output
- Symmetry: R-3m (166)
- DFT total energy: -65.4 eV for the cell shown
- N(E_F): 15.48 states/eV per cell


# 7
Here is a relaxed Zr2Co3Ru crystal from the Alexandria database. Energies are from PBE.

Cell lengths 5.0205, 5.0205, 5.0205 Å; angles 58.78, 58.78, 58.78 degrees
Atoms (fractional coordinates):
1 Zr 0.1236 0.1236 0.1236
2 Zr 0.8764 0.8764 0.8764
3 Co 0.0000 0.5000 0.5000
4 Co 0.5000 0.0000 0.5000
5 Co 0.5000 0.5000 0.0000
6 Ru 0.5000 0.5000 0.5000

Output
- Symmetry: R-3m (166)
- DFT total energy: -49.7 eV for the cell shown
- N(E_F): 7.03 states/eV per cell


# 8
Here is a relaxed CaGa2Ni crystal from the Alexandria database. Energies are from PBE.

Cell lengths 3.1262, 3.1262, 7.1563 Å; angles 90.00, 90.00, 90.00 degrees
Atoms (fractional coordinates):
1 Ca 0.0000 0.0000 0.0000
2 Ga 0.5000 0.5000 0.3113
3 Ga 0.5000 0.5000 0.6887
4 Ni 0.0000 0.0000 0.5000

Output
- Symmetry: P4/mmm (123)
- DFT total energy: -15.3 eV for the cell shown
- N(E_F): 1.04 states/eV per cell


# 9
Here is a relaxed LiPa2BO8 crystal from the Alexandria database. Energies are from PBE.

Cell lengths 4.7822, 4.7822, 7.6035 Å; angles 90.00, 90.00, 120.00 degrees
Atoms (fractional coordinates):
1 Li 0.0000 0.0000 0.0000
2 Pa 0.3333 0.6667 0.3369
3 Pa 0.6667 0.3333 0.6631
4 B 0.0000 0.0000 0.5000
5 O 0.1617 0.3235 0.6328
6 O 0.1617 0.8383 0.6328
7 O 0.3235 0.1617 0.3672
8 O 0.3333 0.6667 0.0874
9 O 0.6667 0.3333 0.9126
10 O 0.6765 0.8383 0.6328
11 O 0.8383 0.1617 0.3672
12 O 0.8383 0.6765 0.3672

Output
- Symmetry: P-3m1 (164)
- DFT total energy: -94.0 eV for the cell shown
- E_form (uncorrected): -2232 meV per atom
- N(E_F): 5.78 states/eV per cell


# 10
Here is a relaxed Y2InSe5 crystal from the Alexandria database. Energies are from PBE.

Cell lengths 7.5986, 7.5986, 12.7094 Å; angles 90.00, 90.00, 135.93 degrees
Atoms (fractional coordinates):
1 Y 0.1650 0.8350 0.5684
2 Y 0.1650 0.8350 0.9316
3 Y 0.8350 0.1650 0.0684
4 Y 0.8350 0.1650 0.4316
5 In 0.1841 0.8159 0.2500
6 In 0.8159 0.1841 0.7500
7 Se 0.0333 0.9667 0.1042
8 Se 0.0333 0.9667 0.3958
9 Se 0.2834 0.7166 0.7500
10 Se 0.3121 0.6879 0.0855
11 Se 0.3121 0.6879 0.4145
12 Se 0.6879 0.3121 0.5855
13 Se 0.6879 0.3121 0.9145
14 Se 0.7166 0.2834 0.2500
15 Se 0.9667 0.0333 0.6042
16 Se 0.9667 0.0333 0.8958

Output
- Symmetry: Cmcm (63)
- DFT total energy: -85.2 eV for the cell shown
- E_form (uncorrected): -1189 meV per atom
- N(E_F): 11.10 states/eV per cell


# 11
Here is a relaxed Ac4PmN5 crystal from the Alexandria database. Energies are from PBE.

Cell lengths 6.6173, 6.6173, 6.6173 Å; angles 101.18, 101.18, 127.76 degrees
Atoms (fractional coordinates):
1 Ac 0.1034 0.2985 0.4019
2 Ac 0.2985 0.8966 0.1952
3 Ac 0.7015 0.1034 0.8048
4 Ac 0.8966 0.7015 0.5981
5 Pm 0.5050 0.5050 0.0000
6 N 0.1521 0.5379 0.8039
7 N 0.3482 0.1521 0.6141
8 N 0.5379 0.7341 0.3859
9 N 0.7341 0.3482 0.1961
10 N 0.9049 0.9049 0.0000

Output
- Symmetry: I4 (79)
- DFT total energy: -74.2 eV for the cell shown
- E_form (uncorrected): -1136 meV per atom
- N(E_F): 0.47 states/eV per cell


# 12
Here is a relaxed CrAgP2 crystal from the Alexandria database. Energies are from PBE.

Cell lengths 2.9351, 2.9351, 6.7167 Å; angles 90.00, 90.00, 90.00 degrees
Atoms (fractional coordinates):
1 Cr 0.0000 0.0000 0.0000
2 Ag 0.0000 0.0000 0.5000
3 P 0.5000 0.5000 0.1914
4 P 0.5000 0.5000 0.8086

Output
- Symmetry: P4/mmm (123)
- DFT total energy: -23.1 eV for the cell shown
- N(E_F): 2.97 states/eV per cell


- What is the formula in the second record?
  CeZn3H12


- What is the formula in the seventh record?
  Zr2Co3Ru